Sc2BeMo: optimized geometry, PBE.

Output
SG: P4/mmm, No. 123
Theoretical density, g/cm³: 4.67
Total magnetic moment, μB per formula unit: 0.000
Volume, Å³/cell: 69
E_form, eV per formula unit: 0.6

a b c (Å): 3.325 3.325 6.268
angles (deg): 90.00 90.00 90.00
Element x y z (fractional)
Sc1 0.000 0.000 0.247
Sc2 0.000 0.000 0.753
Be1 0.500 0.500 0.000
Mo1 0.500 0.500 0.500